Record 1
Below is crystalline CaRe2Ir at its relaxed geometry, with properties calculated at the PBE level.

a = 4.8887 Å, b = 4.8887 Å, c = 2.7802 Å
α = 90.00°, β = 90.00°, γ = 90.00°
Positions (direct):
Re 0.0000 0.0000 0.0000
Re 0.5000 0.5000 0.0000
Ca 0.5000 0.0000 0.5000
Ir 0.0000 0.5000 0.5000

Values from the calculation:
- E above lowest polymorph: 538 meV per atom
- Total moment: 0.000 μB/cell
- Raw total energy: -8.163 eV/atom


Record 2
Below is crystalline SmLuZnPb at its relaxed geometry, with properties calculated at the PBE level.

a = 5.2449 Å, b = 5.2449 Å, c = 5.2449 Å
α = 60.00°, β = 60.00°, γ = 60.00°
Positions (direct):
Pb 0.5000 0.5000 0.5000
Zn 0.0000 0.0000 0.0000
Lu 0.7500 0.7500 0.7500
Sm 0.2500 0.2500 0.2500

Values from the calculation:
- Total moment: 0.000 μB/cell
- Raw total energy: -3.896 eV/atom